Crystalline Pr3Tm2Hg6 at its relaxed geometry. Source: Alexandria, functional PBE-GGA.

density of states at the Fermi level: 10.42 states/eV/f.u.
crystal system: tetragonal
formation energy from the elements: -0.194 eV per atom
total energy: -2.47 eV/atom

Unit cell a=4.4805 b=4.4805 c=32.8569 alpha=90.00 beta=90.00 gamma=90.00
Space group I4/mmm (No. 139)
Inequivalent atoms, fractional coordinates:
1 Pr 0.0000 0.0000 0.0000 [2 per cell]
2 Pr 0.0000 0.0000 0.1808 [4 per cell]
3 Tm 0.0000 0.0000 0.3703 [4 per cell]
4 Hg 0.0000 0.0000 0.2793 [4 per cell]
5 Hg 0.0000 0.5000 0.0702 [8 per cell]